Material: LiCd3Bi3
Method: DFT, GGA-PBE
State: optimized geometry

Summary:
**M_tot**: 0.00 μB/cell
**Density of states at the Fermi level**: 12.26 states/eV/cell
**SG**: Pm-3n, No. 223
**Calculated density**: 5710 kg/m3
**ΔH_f (0 K)**: 5.3 kcal/mol of atoms

Cell lengths 8.2660, 8.2660, 8.2660 Å; angles 90.00, 90.00, 90.00 degrees
Closest atoms and distances in Å follow each position.
Fractional positions:
Bi1 0.7500 0.5000 0.0000  4 Cd 2.92
Bi2 0.5000 0.0000 0.7500  4 Cd 2.92
Bi3 0.0000 0.2500 0.5000  4 Cd 2.92
Bi4 0.2500 0.5000 0.0000  4 Cd 2.92
Bi5 0.0000 0.7500 0.5000  4 Cd 2.92
Bi6 0.5000 0.0000 0.2500  4 Cd 2.92
Li1 0.0000 0.0000 0.0000  12 Cd 4.62, 12 Bi 4.62
Li2 0.5000 0.5000 0.5000  12 Cd 4.62, 12 Bi 4.62
Cd1 0.5000 0.7500 0.0000  4 Bi 2.92
Cd2 0.2500 0.0000 0.5000  4 Bi 2.92
Cd3 0.0000 0.5000 0.7500  4 Bi 2.92
Cd4 0.7500 0.0000 0.5000  4 Bi 2.92
Cd5 0.5000 0.2500 0.0000  4 Bi 2.92
Cd6 0.0000 0.5000 0.2500  4 Bi 2.92

Material: ZrTc
Method: DFT, GGA-PBE
State: optimized geometry

Summary:
**M_tot**: 0.00 μB/cell
**Density of states at the Fermi level**: 3.44 states/eV/cell
**SG**: P6_3/mmc, No. 194
**Calculated density**: 8486 kg/m3
**ΔH_f (0 K)**: 0.9 kcal/mol of atoms

Cell lengths 3.2010, 3.2010, 8.3456 Å; angles 90.00, 90.00, 120.00 degrees
Closest atoms and distances in Å follow each position.
Fractional positions:
Tc1 0.6667 0.3333 0.7500  6 Zr 2.79
Tc2 0.3333 0.6667 0.2500  6 Zr 2.79
Zr1 0.0000 0.0000 0.5000  6 Tc 2.79
Zr2 0.0000 0.0000 0.0000  6 Tc 2.79

Material: Sm2Pt7
Method: DFT, GGA-PBE
State: optimized geometry

Summary:
**M_tot**: 0.00 μB/cell
**Density of states at the Fermi level**: 15.80 states/eV/cell
**SG**: R-3m, No. 166
**Calculated density**: 16213 kg/m3
**ΔH_f (0 K)**: -19.9 kcal/mol of atoms

Cell lengths 5.4403, 5.4403, 13.6820 Å; angles 78.53, 78.53, 60.00 degrees
Closest atoms and distances in Å follow each position.
Fractional positions:
Pt1 0.7225 0.7225 0.8325  6 Pt 2.72-2.73
Pt2 0.1078 0.6137 0.6648  7 Pt 2.69-2.75
Pt3 0.3863 0.3863 0.3352  7 Pt 2.69-2.75
Pt4 0.6137 0.1078 0.6648  7 Pt 2.69-2.75
Pt5 0.6137 0.6137 0.6648  7 Pt 2.69-2.75
Pt6 0.0000 0.5000 0.0000  8 Pt 2.72-2.73
Pt7 0.5000 0.5000 0.0000  8 Pt 2.72-2.73
Pt8 0.6111 0.6111 0.1667  6 Pt 2.72-2.75
Pt9 0.3863 0.8922 0.3352  7 Pt 2.69-2.75
Pt10 0.8922 0.3863 0.3352  7 Pt 2.69-2.75
Pt11 0.5000 0.5000 0.5000  6 Pt 2.71
Pt12 0.5000 0.0000 0.0000  8 Pt 2.72-2.73
Pt13 0.3889 0.3889 0.8333  6 Pt 2.72-2.75
Pt14 0.2775 0.2775 0.1675  6 Pt 2.72-2.73
Sm1 0.8527 0.8527 0.4418  12 Pt 3.07-3.35
Sm2 0.0491 0.0491 0.8527  12 Pt 3.15-3.35
Sm3 0.9509 0.9509 0.1473  12 Pt 3.15-3.35
Sm4 0.1473 0.1473 0.5582  12 Pt 3.07-3.35

Material: Mg6Ag5Ge
Method: DFT, GGA-PBE
State: optimized geometry

Summary:
**M_tot**: 0.00 μB/cell
**Density of states at the Fermi level**: 3.76 states/eV/cell
**SG**: P2/m, No. 10
**Calculated density**: 5627 kg/m3
**ΔH_f (0 K)**: -4.9 kcal/mol of atoms

Cell lengths 4.7656, 6.5519, 7.5811 Å; angles 90.00, 109.13, 90.00 degrees
Closest atoms and distances in Å follow each position.
Fractional positions:
Mg1 0.1645 0.2518 0.3360  7 Ag 2.85-2.91, 1 Ge 2.92
Mg2 0.5000 0.7515 0.0000  6 Ag 2.87-2.93, 2 Ge 2.89
Mg3 0.8355 0.7482 0.6640  7 Ag 2.85-2.91, 1 Ge 2.92
Mg4 0.1645 0.7482 0.3360  7 Ag 2.85-2.91, 1 Ge 2.92
Mg5 0.5000 0.2485 0.0000  6 Ag 2.87-2.93, 2 Ge 2.89
Mg6 0.8355 0.2518 0.6640  7 Ag 2.85-2.91, 1 Ge 2.92
Ag1 0.6660 0.0000 0.3392  8 Mg 2.85-2.93
Ag2 0.6602 0.5000 0.3278  8 Mg 2.87-2.91
Ag3 0.0000 0.5000 0.0000  8 Mg 2.90-2.91
Ag4 0.3398 0.5000 0.6722  8 Mg 2.87-2.91
Ag5 0.3340 0.0000 0.6608  8 Mg 2.85-2.93
Ge1 0.0000 0.0000 0.0000  8 Mg 2.89-2.92

Material: Tm2GaPb
Method: DFT, GGA-PBE
State: optimized geometry

Summary:
**M_tot**: 0.00 μB/cell
**Density of states at the Fermi level**: 5.33 states/eV/cell
**SG**: P2_1/m, No. 11
**Calculated density**: 9982 kg/m3
**ΔH_f (0 K)**: -11.8 kcal/mol of atoms

Cell lengths 4.1477, 6.0061, 8.8744 Å; angles 112.29, 90.00, 90.00 degrees
Closest atoms and distances in Å follow each position.
Fractional positions:
Ga1 0.7500 0.6790 0.2915  2 Pb 2.88, 5 Tm 2.97-3.03
Ga2 0.2500 0.3210 0.7085  2 Pb 2.88, 5 Tm 2.97-3.03
Tm1 0.2500 0.7878 0.5584  3 Ga 2.97-3.03, 3 Pb 3.15-3.30
Tm2 0.7500 0.2122 0.4416  3 Ga 2.97-3.03, 3 Pb 3.15-3.30
Tm3 0.2500 0.7620 0.0747  3 Ga 3.00-3.32, 4 Pb 3.10-3.30
Tm4 0.7500 0.2380 0.9253  3 Ga 3.00-3.32, 4 Pb 3.10-3.30
Pb1 0.2500 0.3199 0.2101  2 Ga 2.88, 5 Tm 3.10-3.16
Pb2 0.7500 0.6801 0.7899  2 Ga 2.88, 5 Tm 3.10-3.16

Material: La14NdZn
Method: DFT, GGA-PBE
State: optimized geometry

Summary:
**M_tot**: 0.00 μB/cell
**Density of states at the Fermi level**: 19.45 states/eV/cell
**SG**: P4/mmm, No. 123
**Calculated density**: 6440 kg/m3
**ΔH_f (0 K)**: -0.3 kcal/mol of atoms

Cell lengths 7.3208, 7.3208, 10.3642 Å; angles 90.00, 90.00, 90.00 degrees
Closest atoms and distances in Å follow each position.
Fractional positions:
La1 0.6150 0.6150 0.7412  10 La 3.51-3.81, 1 Zn 3.52, 1 Nd 3.67
La2 0.1350 0.1350 0.2588  10 La 3.51-3.81, 1 Zn 3.52, 1 Nd 3.67
La3 0.3750 0.3750 0.0000  12 La 3.66
La4 0.8750 0.3750 0.5000  8 La 3.60, 2 Zn 3.66, 2 Nd 3.66
La5 0.6150 0.1350 0.2588  10 La 3.51-3.81, 1 Zn 3.52, 1 Nd 3.67
La6 0.6150 0.1350 0.7412  10 La 3.51-3.81, 1 Zn 3.52, 1 Nd 3.67
La7 0.8750 0.8750 0.0000  12 La 3.66-3.80
La8 0.3750 0.8750 0.0000  12 La 3.66-3.73
La9 0.1350 0.1350 0.7412  10 La 3.51-3.81, 1 Zn 3.52, 1 Nd 3.67
La10 0.1350 0.6150 0.7412  10 La 3.51-3.81, 1 Zn 3.52, 1 Nd 3.67
La11 0.1350 0.6150 0.2588  10 La 3.51-3.81, 1 Zn 3.52, 1 Nd 3.67
La12 0.8750 0.3750 0.0000  12 La 3.66-3.73
La13 0.3750 0.8750 0.5000  8 La 3.60, 2 Zn 3.66, 2 Nd 3.66
La14 0.6150 0.6150 0.2588  10 La 3.51-3.81, 1 Zn 3.52, 1 Nd 3.67
Nd1 0.8750 0.8750 0.5000  12 La 3.66-3.67
Zn1 0.3750 0.3750 0.5000  12 La 3.52-3.66

Material: ZrTaSi
Method: DFT, GGA-PBE
State: optimized geometry

Summary:
**E_tot**: -8.92 eV/atom
**M_tot**: 0.00 μB/cell
**Density of states at the Fermi level**: 2.68 states/eV/cell
**SG**: I4mm, No. 107
**Calculated density**: 9171 kg/m3

Cell lengths 5.1821, 5.1829, 5.1829 Å; angles 141.14, 141.14, 56.13 degrees
Closest atoms and distances in Å follow each position.
Fractional positions:
Si1 0.0131 0.0132 0.9999  4 Ta 2.74, 5 Zr 2.92-2.97
Zr1 0.3375 0.3376 0.9999  5 Ta 2.85-2.99, 5 Si 2.92-2.97
Ta1 0.6494 0.6492 0.0002  4 Si 2.74, 5 Zr 2.85-2.99

Material: Tb2PmN3
Method: DFT, GGA-PBE
State: optimized geometry

Summary:
**E_tot**: -8.07 eV/atom
**M_tot**: 0.00 μB/cell
**Density of states at the Fermi level**: 1.03 states/eV/cell
**SG**: Pnma, No. 62
**Calculated density**: 8916 kg/m3

Cell lengths 5.0015, 7.0819, 10.6192 Å; angles 90.00, 90.00, 90.00 degrees
Closest atoms and distances in Å follow each position.
Fractional positions:
N1 0.2500 0.6285 0.2517  4 Tb 2.47-2.53, 2 Pm 2.49-2.51
N2 0.7500 0.8646 0.0845  3 Tb 2.42-2.57, 3 Pm 2.50-2.58
N3 0.2500 0.6224 0.9136  5 Tb 2.47-2.51, 1 Pm 2.53
N4 0.7500 0.8715 0.7517  4 Tb 2.47-2.53, 2 Pm 2.49-2.51
N5 0.2500 0.1354 0.9155  3 Tb 2.42-2.57, 3 Pm 2.50-2.58
N6 0.2500 0.6354 0.5845  3 Tb 2.42-2.57, 3 Pm 2.50-2.58
N7 0.7500 0.8776 0.4136  5 Tb 2.47-2.51, 1 Pm 2.53
N8 0.7500 0.3776 0.0864  5 Tb 2.47-2.51, 1 Pm 2.53
N9 0.7500 0.3715 0.7483  4 Tb 2.47-2.53, 2 Pm 2.49-2.51
N10 0.2500 0.1285 0.2483  4 Tb 2.47-2.53, 2 Pm 2.49-2.51
N11 0.7500 0.3646 0.4155  3 Tb 2.42-2.57, 3 Pm 2.50-2.58
N12 0.2500 0.1224 0.5864  5 Tb 2.47-2.51, 1 Pm 2.53
Tb1 0.2500 0.8732 0.7488  6 N 2.42-2.57
Tb2 0.2500 0.3750 0.0833  6 N 2.46-2.53
Tb3 0.7500 0.6250 0.9167  6 N 2.46-2.53
Tb4 0.7500 0.1250 0.5833  6 N 2.46-2.53
Tb5 0.2500 0.8750 0.4167  6 N 2.46-2.53
Tb6 0.2500 0.3732 0.7512  6 N 2.42-2.57
Tb7 0.7500 0.1268 0.2512  6 N 2.42-2.57
Tb8 0.7500 0.6268 0.2488  6 N 2.42-2.57
Pm1 0.2500 0.8732 0.0837  6 N 2.49-2.58
Pm2 0.7500 0.6268 0.5837  6 N 2.49-2.58
Pm3 0.2500 0.3732 0.4163  6 N 2.49-2.58
Pm4 0.7500 0.1268 0.9163  6 N 2.49-2.58

Material: Sr4Se3Br
Method: DFT, GGA-PBE
State: optimized geometry

Summary:
**E_tot**: -4.26 eV/atom
**M_tot**: 0.00 μB/cell
**Density of states at the Fermi level**: 2.65 states/eV/cell
**SG**: R-3m, No. 166
**Calculated density**: 4398 kg/m3

Cell lengths 4.4785, 4.4785, 14.7319 Å; angles 81.26, 81.26, 60.00 degrees
Closest atoms and distances in Å follow each position.
Fractional positions:
Se1 0.2502 0.2502 0.2493  6 Sr 3.06-3.19
Se2 0.7498 0.7498 0.7507  6 Sr 3.06-3.19
Se3 0.5000 0.5000 0.5000  6 Sr 3.13
Sr1 0.6211 0.6211 0.1366  3 Se 3.06, 3 Br 3.26
Sr2 0.8741 0.8741 0.3778  6 Se 3.13-3.19
Sr3 0.1259 0.1259 0.6222  6 Se 3.13-3.19
Sr4 0.3789 0.3789 0.8634  3 Se 3.06, 3 Br 3.26
Br1 0.0000 0.0000 0.0000  6 Sr 3.26

Material: ErScTlIn
Method: DFT, GGA-PBE
State: optimized geometry

Summary:
**Energy relative to the lowest polymorph listed for this composition**: 0.003 eV/atom
**M_tot**: 0.00 μB/cell
**Density of states at the Fermi level**: 2.16 states/eV/cell
**SG**: F-43m, No. 216
**Calculated density**: 8910 kg/m3
**ΔH_f (0 K)**: -8.0 kcal/mol of atoms

Cell lengths 5.1933, 5.1933, 5.1933 Å; angles 60.00, 60.00, 60.00 degrees
Closest atoms and distances in Å follow each position.
Fractional positions:
In1 0.7500 0.7500 0.7500  4 Er 3.18, 4 Sc 3.18
Er1 0.5000 0.5000 0.5000  4 In 3.18, 4 Tl 3.18
Tl1 0.2500 0.2500 0.2500  4 Sc 3.18, 4 Er 3.18
Sc1 0.0000 0.0000 0.0000  4 In 3.18, 4 Tl 3.18

Material: CsSn2S4
Method: DFT, GGA-PBE
State: optimized geometry

Summary:
**E_tot**: -4.18 eV/atom
**M_tot**: 0.00 μB/cell
**SG**: Cm, No. 8
**Calculated density**: 3817 kg/m3

Cell lengths 7.5958, 9.4585, 9.4603 Å; angles 132.13, 98.41, 105.29 degrees
Closest atoms and distances in Å follow each position.
Fractional positions:
Sn1 0.5893 0.3641 0.7462  6 S 2.50-2.71
Sn2 0.1043 0.3669 0.7375  6 S 2.51-2.67
Sn3 0.7795 0.3789 0.4008  3 S 2.53-2.57
Sn4 0.5894 0.8431 0.2252  6 S 2.50-2.71
Cs1 0.3476 0.7648 0.5827  4 S 3.32-3.42
Cs2 0.0997 0.1143 0.9852  6 S 3.57-3.84
S1 0.2381 0.1095 0.6332  2 Sn 2.51-2.53
S2 0.9331 0.6017 0.7948  3 Sn 2.57-2.69
S3 0.7473 0.1036 0.6436  3 Sn 2.67
S4 0.7417 0.6044 0.1372  2 Sn 2.50
S5 0.4503 0.6275 0.8229  3 Sn 2.63-2.65
S6 0.4583 0.1277 0.3306  3 Sn 2.53-2.71
S7 0.2382 0.6049 0.1286  2 Sn 2.51-2.53
S8 0.9332 0.1385 0.3315  3 Sn 2.57-2.69

Material: LiMgGa
Method: DFT, GGA-PBE
State: optimized geometry

Summary:
**Energy relative to the lowest polymorph listed for this composition**: 0.000 eV/atom
**M_tot**: 0.00 μB/cell
**Density of states at the Fermi level**: 1.82 states/eV/cell
**SG**: P-62m, No. 189
**Calculated density**: 3016 kg/m3
**ΔH_f (0 K)**: -4.9 kcal/mol of atoms

Cell lengths 3.0815, 7.9055, 7.9055 Å; angles 120.00, 90.00, 90.00 degrees
Closest atoms and distances in Å follow each position.
Fractional positions:
Li1 0.0000 0.0000 0.3729  5 Ga 2.93-2.95, 6 Mg 3.03-3.11, 2 Li 3.08
Li2 0.0000 0.3729 0.0000  5 Ga 2.93-2.95, 6 Mg 3.03-3.11, 2 Li 3.08
Li3 0.0000 0.6271 0.6271  5 Ga 2.93-2.95, 6 Mg 3.03-3.11, 2 Li 3.08
Ga1 0.5000 0.6667 0.3333  3 Mg 2.79, 6 Li 2.93, 2 Ga 3.08
Ga2 0.5000 0.3333 0.6667  3 Mg 2.79, 6 Li 2.93, 2 Ga 3.08
Ga3 0.0000 0.0000 0.0000  6 Mg 2.81, 3 Li 2.95, 2 Ga 3.08
Mg1 0.5000 0.0000 0.7032  4 Ga 2.79-2.81, 6 Li 3.03-3.11, 2 Mg 3.08
Mg2 0.5000 0.7032 0.0000  4 Ga 2.79-2.81, 6 Li 3.03-3.11, 2 Mg 3.08
Mg3 0.5000 0.2968 0.2968  4 Ga 2.79-2.81, 6 Li 3.03-3.11, 2 Mg 3.08